Material: CrBi2Sb2
Method: DFT, GGA-PBE
State: relaxed

Values from the calculation:
The calculation puts the density of states at the Fermi level at 1.8 states/eV/f.u. Its total energy is -4.886 eV per atom. The distance to the lowest polymorph of the same formula is 0 meV/atom.

CIF file:
```
data_CrBi2Sb2
_chemical_formula_sum 'Cr2 Bi4 Sb4'
_cell_length_a 6.961
_cell_length_b 6.961
_cell_length_c 6.186
_cell_angle_alpha 90.00
_cell_angle_beta 90.00
_cell_angle_gamma 90.00
_symmetry_space_group_name_H-M 'P 4/m b m'
_symmetry_Int_Tables_number 127
_symmetry_space_group_name_Hall '-P 4 2ab'
loop_
_atom_site_label
_atom_site_fract_x
_atom_site_fract_y
_atom_site_fract_z
Cr1 0.000 0.000 0.000
Bi1 0.228 0.272 0.500
Sb1 0.146 0.354 0.000
```

***

Material: CrBiSb2
Method: DFT, GGA-PBE
State: relaxed

Values from the calculation:
The calculation puts the density of states at the Fermi level at 1.9 states/eV/f.u. Its total energy is -5.097 eV per atom.

CIF file:
```
data_CrBiSb2
_chemical_formula_sum 'Cr4 Bi4 Sb8'
_cell_length_a 6.423
_cell_length_b 6.423
_cell_length_c 13.581
_cell_angle_alpha 90.00
_cell_angle_beta 90.00
_cell_angle_gamma 90.00
_symmetry_space_group_name_H-M 'I -4 2 d'
_symmetry_Int_Tables_number 122
_symmetry_space_group_name_Hall 'I -4 2bw'
loop_
_atom_site_label
_atom_site_fract_x
_atom_site_fract_y
_atom_site_fract_z
Cr1 0.000 0.000 0.000
Bi1 0.000 0.000 0.500
Sb1 0.194 0.250 0.125
```

***

Material: CrBi3Sb
Method: DFT, GGA-PBE
State: relaxed

Values from the calculation:
The calculation puts the density of states at the Fermi level at 5.2 states/eV/f.u. Its total energy is -4.574 eV per atom. The distance to the lowest polymorph of the same formula is 0 meV/atom.

CIF file:
```
data_CrBi3Sb
_chemical_formula_sum 'Cr1 Bi3 Sb1'
_cell_length_a 5.274
_cell_length_b 5.274
_cell_length_c 5.274
_cell_angle_alpha 90.00
_cell_angle_beta 90.00
_cell_angle_gamma 90.00
_symmetry_space_group_name_H-M 'P m -3 m'
_symmetry_Int_Tables_number 221
_symmetry_space_group_name_Hall '-P 4 2 3'
loop_
_atom_site_label
_atom_site_fract_x
_atom_site_fract_y
_atom_site_fract_z
Cr1 0.000 0.000 0.000
Bi1 0.000 0.000 0.500
Sb1 0.500 0.500 0.500
```